# 1
Compound: Li2PaAuSe4
Source: Alexandria via LeMat-Bulk
Functional: PBE-GGA
Structure: relaxed

Calculated values
- Volume: 22.096 Å³ per atom
- SG: I-4m2 (119)
- Electronic total energy: -38.48 eV per formula unit

a b c (Å): 6.8734 6.8734 6.8734
angles (deg): 131.81 131.81 70.53
Fractional positions:
Li: 0.0000 0.0000 0.0000
Li: 0.7500 0.2500 0.5000
Pa: 0.2500 0.7500 0.5000
Au: 0.5000 0.5000 0.0000
Se: 0.0031 0.5031 0.5000
Se: 0.2380 0.2380 0.0000
Se: 0.4969 0.9969 0.5000
Se: 0.7620 0.7620 0.0000

---

# 2
Compound: Li4Pa3Te8Au
Source: Alexandria via LeMat-Bulk
Functional: PBE-GGA
Structure: relaxed

Calculated values
- Volume: 28.129 Å³ per atom
- SG: C2/m (12)
- Electronic total energy: -76.52 eV per formula unit

a b c (Å): 8.5618 8.5618 8.6980
angles (deg): 119.69 119.69 59.19
Fractional positions:
Li: 0.0000 0.0000 0.0000
Li: 0.0000 0.5000 0.0000
Li: 0.5000 0.0000 0.0000
Li: 0.5000 0.5000 0.0000
Pa: 0.0000 0.0000 0.5000
Pa: 0.0000 0.5000 0.5000
Pa: 0.5000 0.0000 0.5000
Te: 0.2429 0.2429 0.2362
Te: 0.2538 0.2538 0.7654
Te: 0.2539 0.7411 0.2457
Te: 0.2589 0.7461 0.7543
Te: 0.7411 0.2539 0.2457
Te: 0.7461 0.2589 0.7543
Te: 0.7462 0.7462 0.2346
Te: 0.7571 0.7571 0.7638
Au: 0.5000 0.5000 0.5000

---

# 3
Compound: Li2PaTe4Au
Source: Alexandria via LeMat-Bulk
Functional: PBE-GGA
Structure: relaxed

Calculated values
- Volume: 27.712 Å³ per atom
- SG: P2/m (10)
- Electronic total energy: -34.37 eV per formula unit

a b c (Å): 7.4536 4.2653 7.4669
angles (deg): 90.00 110.95 90.00
Fractional positions:
Li: 0.0000 0.0000 0.0000
Li: 0.0000 0.5000 0.5000
Pa: 0.5000 0.0000 0.5000
Te: 0.2226 0.5000 0.2644
Te: 0.2761 0.0000 0.7716
Te: 0.7239 0.0000 0.2284
Te: 0.7774 0.5000 0.7356
Au: 0.5000 0.5000 0.0000

---

# 4
Compound: Li3Pa3Te8Au
Source: Alexandria via LeMat-Bulk
Functional: PBE-GGA
Structure: relaxed

Calculated values
- Volume: 30.180 Å³ per atom
- SG: C2/m (12)
- Electronic total energy: -73.34 eV per formula unit

a b c (Å): 8.4228 8.4228 8.5648
angles (deg): 118.15 118.15 63.60
Fractional positions:
Li: 0.0000 0.0000 0.0000
Li: 0.0000 0.5000 0.0000
Li: 0.5000 0.0000 0.0000
Pa: 0.0000 0.5000 0.5000
Pa: 0.5000 0.0000 0.5000
Pa: 0.5000 0.5000 0.5000
Te: 0.2314 0.2314 0.7362
Te: 0.2406 0.2406 0.2354
Te: 0.2664 0.7308 0.2356
Te: 0.2692 0.7336 0.7644
Te: 0.7308 0.2664 0.2356
Te: 0.7336 0.2692 0.7644
Te: 0.7594 0.7594 0.7646
Te: 0.7686 0.7686 0.2638
Au: 0.0000 0.0000 0.5000

---

# 5
Compound: LiPaZn2Au4
Source: Alexandria via LeMat-Bulk
Functional: PBE-GGA
Structure: relaxed

Calculated values
- Volume: 18.301 Å³ per atom
- SG: R-3m (166)
- Electronic total energy: -30.10 eV per formula unit

a b c (Å): 8.6048 8.6048 8.6048
angles (deg): 30.60 30.60 30.60
Fractional positions:
Li: 0.0000 0.0000 0.0000
Pa: 0.5000 0.5000 0.5000
Zn: 0.2570 0.2570 0.2570
Zn: 0.7430 0.7430 0.7430
Au: 0.1082 0.1082 0.1082
Au: 0.3709 0.3709 0.3709
Au: 0.6291 0.6291 0.6291
Au: 0.8918 0.8918 0.8918

---

# 6
Compound: Li7PbAu4
Source: Alexandria via LeMat-Bulk
Functional: PBE-GGA
Structure: relaxed

Calculated values
- Volume: 18.422 Å³ per atom
- SG: C2/m (12)
- Electronic total energy: -34.20 eV per formula unit

a b c (Å): 6.7379 6.7379 8.7021
angles (deg): 121.67 121.67 42.64
Fractional positions:
Li: 0.0000 0.0000 0.0000
Li: 0.2217 0.2217 0.6661
Li: 0.2816 0.2816 0.1192
Li: 0.4371 0.4371 0.6118
Li: 0.5629 0.5629 0.3882
Li: 0.7184 0.7184 0.8808
Li: 0.7783 0.7783 0.3339
Pb: 0.5000 0.5000 0.0000
Au: 0.0687 0.0687 0.7681
Au: 0.1933 0.1933 0.3461
Au: 0.8067 0.8067 0.6539
Au: 0.9313 0.9313 0.2319

---

# 7
Compound: Li2PbAu
Source: Alexandria via LeMat-Bulk
Functional: PBE-GGA
Structure: relaxed

Calculated values
- Volume: 20.962 Å³ per atom
- SG: I-42d (122)
- Electronic total energy: -11.68 eV per formula unit

a b c (Å): 6.0869 6.0869 6.0869
angles (deg): 103.78 103.78 121.58
Fractional positions:
Li: 0.0875 0.6250 0.9625
Li: 0.3750 0.3375 0.4625
Li: 0.6625 0.1250 0.0375
Li: 0.8750 0.9125 0.5375
Pb: 0.2500 0.7500 0.5000
Pb: 0.5000 0.5000 0.0000
Au: 0.0000 0.0000 0.0000
Au: 0.7500 0.2500 0.5000

---

# 8
Compound: Li2PbAu
Source: Alexandria via LeMat-Bulk
Functional: PBE-GGA
Structure: relaxed

Calculated values
- Volume: 19.047 Å³ per atom
- SG: Immm (71)
- Electronic total energy: -12.25 eV per formula unit

a b c (Å): 5.1587 5.1587 5.1587
angles (deg): 134.20 127.69 72.03
Fractional positions:
Li: 0.2388 0.2388 0.0000
Li: 0.7612 0.7612 0.0000
Pb: 0.5000 0.0000 0.5000
Au: 0.0000 0.5000 0.5000

---

# 9
Compound: Li4PbAu
Source: Alexandria via LeMat-Bulk
Functional: PBE-GGA
Structure: relaxed

Calculated values
- Volume: 17.922 Å³ per atom
- SG: Amm2 (38)
- Electronic total energy: -16.78 eV per formula unit

a b c (Å): 4.6644 7.4039 7.4039
angles (deg): 24.87 90.00 90.00
Fractional positions:
Li: 0.0000 0.0000 0.0000
Li: 0.0000 0.3072 0.3072
Li: 0.5000 0.1134 0.1134
Li: 0.5000 0.7683 0.7683
Pb: 0.5000 0.4381 0.4381
Au: 0.0000 0.6585 0.6585

---

# 10
Compound: Li3PbAu2
Source: Alexandria via LeMat-Bulk
Functional: PBE-GGA
Structure: relaxed

Calculated values
- Volume: 18.121 Å³ per atom
- SG: C2/m (12)
- Electronic total energy: -18.38 eV per formula unit

a b c (Å): 8.0388 8.0388 5.9578
angles (deg): 90.18 90.18 34.39
Fractional positions:
Li: 0.0457 0.0457 0.2475
Li: 0.3502 0.3502 0.9620
Li: 0.3510 0.3510 0.5376
Li: 0.6490 0.6490 0.4624
Li: 0.6498 0.6498 0.0380
Li: 0.9543 0.9543 0.7525
Pb: 0.1588 0.1588 0.7493
Pb: 0.8412 0.8412 0.2507
Au: 0.2129 0.2129 0.2505
Au: 0.4833 0.4833 0.2493
Au: 0.5167 0.5167 0.7507
Au: 0.7871 0.7871 0.7495

---

# 11
Compound: Li3PbAu4
Source: Alexandria via LeMat-Bulk
Functional: PBE-GGA
Structure: relaxed

Calculated values
- Volume: 17.857 Å³ per atom
- SG: R-3m (166)
- Electronic total energy: -25.81 eV per formula unit

a b c (Å): 8.6043 8.6043 8.6043
angles (deg): 30.20 30.20 30.20
Fractional positions:
Li: 0.0000 0.0000 0.0000
Li: 0.2571 0.2571 0.2571
Li: 0.7429 0.7429 0.7429
Pb: 0.5000 0.5000 0.5000
Au: 0.1054 0.1054 0.1054
Au: 0.3673 0.3673 0.3673
Au: 0.6327 0.6327 0.6327
Au: 0.8946 0.8946 0.8946

---

# 12
Compound: Li2Pb2Au
Source: Alexandria via LeMat-Bulk
Functional: PBE-GGA
Structure: relaxed

Calculated values
- Volume: 23.307 Å³ per atom
- SG: I4/mmm (139)
- Electronic total energy: -14.45 eV per formula unit

a b c (Å): 8.3400 8.3400 8.3400
angles (deg): 153.35 153.35 38.05
Fractional positions:
Li: 0.2500 0.7500 0.5000
Li: 0.7500 0.2500 0.5000
Pb: 0.0994 0.0994 0.0000
Pb: 0.9006 0.9006 0.0000
Au: 0.5000 0.5000 0.0000

---

# 13
Compound: Li5PbAu
Source: Alexandria via LeMat-Bulk
Functional: PBE-GGA
Structure: relaxed

Calculated values
- Volume: 17.955 Å³ per atom
- SG: C2/c (15)
- Electronic total energy: -18.74 eV per formula unit

a b c (Å): 5.2340 5.2340 9.8083
angles (deg): 103.31 103.31 95.38
Fractional positions:
Li: 0.0092 0.4011 0.8351
Li: 0.1513 0.8487 0.7500
Li: 0.2420 0.5252 0.4704
Li: 0.4011 0.0092 0.3351
Li: 0.4748 0.7580 0.0296
Li: 0.5252 0.2420 0.9704
Li: 0.5989 0.9908 0.6649
Li: 0.7580 0.4748 0.5296
Li: 0.8487 0.1513 0.2500
Li: 0.9908 0.5989 0.1649
Pb: 0.0000 0.0000 0.0000
Pb: 0.0000 0.0000 0.5000
Au: 0.4954 0.5046 0.7500
Au: 0.5046 0.4954 0.2500

---

# 14
Compound: Li2PbAu
Source: Alexandria via LeMat-Bulk
Functional: PBE-GGA
Structure: relaxed

Calculated values
- Volume: 18.645 Å³ per atom
- SG: P2/m (10)
- Electronic total energy: -12.38 eV per formula unit

a b c (Å): 3.3103 3.4746 6.4841
angles (deg): 90.00 90.12 90.00
Fractional positions:
Li: 0.9996 0.0000 0.2116
Li: 0.0004 0.0000 0.7884
Pb: 0.5000 0.5000 0.5000
Au: 0.5000 0.5000 0.0000

---

# 15
Compound: LiPb2Au2
Source: Alexandria via LeMat-Bulk
Functional: PBE-GGA
Structure: relaxed

Calculated values
- Volume: 22.788 Å³ per atom
- SG: C2/m (12)
- Electronic total energy: -16.94 eV per formula unit

a b c (Å): 5.7302 5.7302 10.5488
angles (deg): 113.02 113.02 46.64
Fractional positions:
Li: 0.2174 0.2174 0.3685
Li: 0.7826 0.7826 0.6315
Pb: 0.3173 0.3173 0.8985
Pb: 0.4871 0.4871 0.6722
Pb: 0.5129 0.5129 0.3278
Pb: 0.6827 0.6827 0.1015
Au: 0.0203 0.0203 0.8755
Au: 0.1459 0.1459 0.5859
Au: 0.8541 0.8541 0.4141
Au: 0.9797 0.9797 0.1245

---

# 16
Compound: Li4Pb2Au3
Source: Alexandria via LeMat-Bulk
Functional: PBE-GGA
Structure: relaxed

Calculated values
- Volume: 18.177 Å³ per atom
- SG: P-1 (2)
- Electronic total energy: -28.29 eV per formula unit

a b c (Å): 4.6709 4.6900 8.6100
angles (deg): 89.52 89.93 60.15
Fractional positions:
Li: 0.0016 0.4946 0.3438
Li: 0.3341 0.8308 0.1005
Li: 0.6659 0.1692 0.8995
Li: 0.9984 0.5054 0.6562
Pb: 0.3321 0.8377 0.7642
Pb: 0.6679 0.1623 0.2358
Au: 0.0000 0.5000 0.0000
Au: 0.3348 0.8288 0.4154
Au: 0.6652 0.1712 0.5846

---

# 17
Compound: Li2PbAu
Source: Alexandria via LeMat-Bulk
Functional: PBE-GGA
Structure: relaxed

Calculated values
- Volume: 18.338 Å³ per atom
- SG: P4/mmm (123)
- Electronic total energy: -12.33 eV per formula unit

a b c (Å): 4.4951 4.4951 3.6302
angles (deg): 90.00 90.00 90.00
Fractional positions:
Li: 0.0000 0.5000 0.0000
Li: 0.5000 0.0000 0.0000
Pb: 0.0000 0.0000 0.5000
Au: 0.5000 0.5000 0.5000

---

# 18
Compound: LiPb2Au
Source: Alexandria via LeMat-Bulk
Functional: PBE-GGA
Structure: relaxed

Calculated values
- Volume: 24.117 Å³ per atom
- SG: F-43m (216)
- Electronic total energy: -12.92 eV per formula unit

a b c (Å): 5.1479 5.1479 5.1479
angles (deg): 60.00 60.00 60.00
Fractional positions:
Li: 0.0000 0.0000 0.0000
Pb: 0.2500 0.2500 0.2500
Pb: 0.5000 0.5000 0.5000
Au: 0.7500 0.7500 0.7500

---

# 19
Compound: Li6PbAu6
Source: Alexandria via LeMat-Bulk
Functional: PBE-GGA
Structure: relaxed

Calculated values
- Volume: 18.554 Å³ per atom
- SG: P6/mmm (191)
- Electronic total energy: -40.30 eV per formula unit

a b c (Å): 5.5597 5.5597 9.0106
angles (deg): 90.00 90.00 120.00
Fractional positions:
Li: 0.0000 0.0000 0.1776
Li: 0.0000 0.0000 0.8224
Li: 0.3333 0.6667 0.0000
Li: 0.3333 0.6667 0.5000
Li: 0.6667 0.3333 0.0000
Li: 0.6667 0.3333 0.5000
Pb: 0.0000 0.0000 0.5000
Au: 0.0000 0.5000 0.2479
Au: 0.0000 0.5000 0.7521
Au: 0.5000 0.0000 0.2479
Au: 0.5000 0.0000 0.7521
Au: 0.5000 0.5000 0.2479
Au: 0.5000 0.5000 0.7521

---

# 20
Compound: Li3PbAu2
Source: Alexandria via LeMat-Bulk
Functional: PBE-GGA
Structure: relaxed

Calculated values
- Volume: 17.492 Å³ per atom
- SG: P4/mmm (123)
- Electronic total energy: -18.63 eV per formula unit

a b c (Å): 3.3391 3.3391 9.4127
angles (deg): 90.00 90.00 90.00
Fractional positions:
Li: 0.0000 0.0000 0.0000
Li: 0.0000 0.0000 0.2999
Li: 0.0000 0.0000 0.7001
Pb: 0.5000 0.5000 0.5000
Au: 0.5000 0.5000 0.1561
Au: 0.5000 0.5000 0.8439

---

# 21
Compound: LiPbAu
Source: Alexandria via LeMat-Bulk
Functional: PBE-GGA
Structure: relaxed

Calculated values
- Volume: 22.255 Å³ per atom
- SG: P3m1 (156)
- Electronic total energy: -9.68 eV per formula unit

a b c (Å): 4.8720 4.8720 3.2479
angles (deg): 90.00 90.00 120.00
Fractional positions:
Li: 0.0000 0.0000 0.0000
Pb: 0.6667 0.3333 0.4956
Au: 0.3333 0.6667 0.5110

---

# 22
Compound: LiPb2Au
Source: Alexandria via LeMat-Bulk
Functional: PBE-GGA
Structure: relaxed

Calculated values
- Volume: 24.686 Å³ per atom
- SG: R3m (160)
- Electronic total energy: -13.02 eV per formula unit

a b c (Å): 10.1393 10.1393 10.1393
angles (deg): 19.22 19.22 19.22
Fractional positions:
Li: 0.0000 0.0000 0.0000
Pb: 0.5265 0.5265 0.5265
Pb: 0.7513 0.7513 0.7513
Au: 0.2732 0.2732 0.2732

---

# 23
Compound: Li2PbAu
Source: Alexandria via LeMat-Bulk
Functional: PBE-GGA
Structure: relaxed

Calculated values
- Volume: 18.793 Å³ per atom
- SG: Cmmm (65)
- Electronic total energy: -12.22 eV per formula unit

a b c (Å): 4.9309 4.9309 3.1556
angles (deg): 90.00 90.00 101.55
Fractional positions:
Li: 0.0000 0.5000 0.0000
Li: 0.5000 0.0000 0.0000
Pb: 0.0000 0.0000 0.5000
Au: 0.5000 0.5000 0.5000

---

# 24
Compound: Li2Pb8Au
Source: Alexandria via LeMat-Bulk
Functional: PBE-GGA
Structure: relaxed

Calculated values
- Volume: 27.762 Å³ per atom
- SG: C2/m (12)
- Electronic total energy: -37.62 eV per formula unit

a b c (Å): 10.0030 10.0030 6.8744
angles (deg): 105.81 105.81 27.55
Fractional positions:
Li: 0.1909 0.1909 0.2526
Li: 0.8091 0.8091 0.7474
Pb: 0.0295 0.0295 0.2606
Pb: 0.2094 0.2094 0.8124
Pb: 0.3504 0.3504 0.5276
Pb: 0.3946 0.3946 0.0570
Pb: 0.6054 0.6054 0.9430
Pb: 0.6496 0.6496 0.4724
Pb: 0.7906 0.7906 0.1876
Pb: 0.9705 0.9705 0.7393
Au: 0.5000 0.5000 0.5000

---

# 25
Compound: LiPb2Au
Source: Alexandria via LeMat-Bulk
Functional: PBE-GGA
Structure: relaxed

Calculated values
- Volume: 23.548 Å³ per atom
- SG: Fm-3m (225)
- Electronic total energy: -13.27 eV per formula unit

a b c (Å): 5.1071 5.1071 5.1071
angles (deg): 60.00 60.00 60.00
Fractional positions:
Li: 0.0000 0.0000 0.0000
Pb: 0.2500 0.2500 0.2500
Pb: 0.7500 0.7500 0.7500
Au: 0.5000 0.5000 0.5000